This record from Alexandria via LeMat-Bulk describes a relaxed Tb3Pm5Pr2 crystal. The functional is PBE.

Summary:
**Uncorrected energy**: -4.537 eV/atom
**Magnetic moment**: 0.000 μB/atom

Cell lengths 9.672, 9.708, 11.258 Å; angles 125.88, 125.81, 68.86 degrees
Atoms (fractional coordinates):
Pr 0.533 0.268 0.248
Pr 0.467 0.732 0.752
Pr 0.216 0.981 0.248
Pr 0.784 0.019 0.752
Pm 0.980 0.230 0.460
Pm 0.020 0.770 0.540
Pm 0.719 0.469 0.938
Pm 0.132 0.386 0.237
Pm 0.281 0.531 0.062
Pm 0.868 0.614 0.763
Pm 0.606 0.852 0.237
Pm 0.521 0.271 0.543
Pm 0.394 0.148 0.763
Pm 0.479 0.729 0.457
Tb 0.991 0.222 0.758
Tb 0.773 0.023 0.045
Tb 0.009 0.778 0.242
Tb 0.267 0.536 0.758
Tb 0.227 0.977 0.955
Tb 0.733 0.464 0.242

---

This record from Alexandria via LeMat-Bulk describes a relaxed Li2LaMg crystal. The functional is PBE.

Summary:
**Uncorrected energy**: -2.522 eV/atom
**Magnetic moment**: 0.000 μB/atom

Cell lengths 5.538, 5.538, 6.073 Å; angles 82.62, 82.62, 34.42 degrees
Atoms (fractional coordinates):
Li 0.492 0.492 0.542
Li 0.008 0.008 0.958
La 0.250 0.250 0.250
Mg 0.750 0.750 0.750

---

This record from Alexandria via LeMat-Bulk describes a relaxed GaSi2Tc crystal. The functional is PBE.

Summary:
**Uncorrected energy**: -5.521 eV/atom
**Formation energy from raw total energies**: 0.539 eV per atom
**Magnetic moment**: 0.000 μB/atom

Cell lengths 5.785, 5.785, 6.588 Å; angles 63.95, 63.95, 90.00 degrees
Atoms (fractional coordinates):
Si 0.649 0.125 0.250
Si 0.101 0.625 0.250
Si 0.875 0.899 0.750
Si 0.375 0.351 0.750
Ga 0.250 0.750 0.500
Ga 0.500 0.500 0.000
Tc 0.750 0.250 0.500
Tc 0.000 0.000 0.000

---

This record from Alexandria via LeMat-Bulk describes a relaxed AcTbTaO6 crystal. The functional is PBE.

Summary:
**Uncorrected energy**: -8.556 eV/atom
**Formation energy from raw total energies**: -2.963 eV per atom
**Magnetic moment**: 0.108 μB/atom

Cell lengths 5.200, 5.200, 10.541 Å; angles 90.00, 90.00, 90.00 degrees
Atoms (fractional coordinates):
Ac 0.500 0.500 0.501
Ac 0.000 0.000 0.001
O 0.672 0.672 0.016
O 0.172 0.828 0.516
O 0.692 0.692 0.301
O 0.328 0.328 0.016
O 0.308 0.308 0.301
O 0.808 0.192 0.801
O 0.773 0.227 0.182
O 0.192 0.808 0.801
O 0.727 0.727 0.682
O 0.273 0.273 0.682
O 0.227 0.773 0.182
O 0.828 0.172 0.516
Tb 0.500 0.500 0.835
Tb 0.000 0.000 0.335
Ta 0.000 0.000 0.666
Ta 0.500 0.500 0.166